# 1
24
Lattice="8.7162 0.3464 -0.0003 -6.4600 5.8623 -0.0003 -1.1284 -3.1050 8.2157" Properties=species:S:1:pos:R:3 comment="UF5 (PBE-GGA, relaxed)" e_tot_ev_per_atom=-6.924 volume_a3_per_atom=18.26 formation_energy_uncorrected_mev_per_atom=-3484 de_polymorph_ev_per_atom=0.0341 pbc="T T T"
U -1.1551 1.3381 2.7723
U -4.3849 4.2701 1.3351
U -1.4854 3.2150 6.8797
U -5.8433 3.0425 5.4430
F 5.0120 -0.7960 6.1052
F 3.2329 -0.1477 2.1113
F 2.9354 1.5014 4.7647
F 6.2998 0.2784 3.4490
F 1.3453 3.9007 4.1950
F 3.4468 -2.1377 8.1286
F -2.8850 3.6814 0.0876
F 0.3433 0.7478 4.0208
F 0.6177 2.9574 6.4163
F 7.1228 1.1410 0.5387
F -5.8567 2.3432 7.6761
F 0.2965 -0.4410 1.7984
F -1.4985 2.5168 4.6468
F -4.8234 3.7253 3.5683
F -2.9327 2.4909 2.3089
F -3.7403 2.7831 5.9060
F 0.6565 -0.9690 6.2190
F -1.4212 1.3271 7.5568
F 3.0715 3.2094 0.6570
F 0.0048 2.7815 1.9974


# 2
4
Lattice="4.1207 0.0000 0.0000 2.0603 3.5686 0.0000 2.0603 1.1895 3.3645" Properties=species:S:1:pos:R:3 comment="UF3 (PBE-GGA, relaxed)" e_tot_ev_per_atom=-7.469 volume_a3_per_atom=12.37 formation_energy_uncorrected_mev_per_atom=-3243 pbc="T T T"
U 6.1810 3.5686 2.5234
F 0.0000 0.0000 0.0000
F 4.1207 2.3791 1.6823
F 2.0603 1.1895 0.8411


# 3
11
Lattice="-1.8290 -2.0925 -4.9639 -4.1029 -2.8548 2.7168 -3.4887 4.4547 -0.5907" Properties=species:S:1:pos:R:3 comment="U3F8 (PBE-GGA, relaxed)" e_tot_ev_per_atom=-7.533 volume_a3_per_atom=16.74 formation_energy_uncorrected_mev_per_atom=-3093 pbc="T T T"
U -3.7958 0.8000 1.0630
U -2.6588 1.1811 -2.7773
U -2.9659 -2.4736 -1.1236
F -5.0118 1.0501 -3.4746
F -5.3172 -2.5829 -1.8303
F -6.1421 0.6716 0.3431
F -7.0517 -0.3687 -2.1242
F -2.3689 -0.1239 -0.7136
F -3.2785 -1.1641 -3.1810
F -4.1034 2.0903 -1.0075
F -4.4087 -1.5427 0.6367


# 4
24
Lattice="8.5907 -0.0023 0.0000 -6.9134 5.0996 0.0000 -0.8387 -2.5486 8.1609" Properties=species:S:1:pos:R:3 comment="UF5 (PBE-GGA, relaxed)" e_tot_ev_per_atom=-6.890 volume_a3_per_atom=14.89 formation_energy_uncorrected_mev_per_atom=-3449 de_polymorph_ev_per_atom=0.0691 pbc="T T T"
U -6.2989 2.7789 5.3895
U -2.0035 2.7778 6.8519
U -4.4905 3.5961 1.3091
U -1.0338 1.0463 2.7714
F -2.9225 2.3646 2.2743
F -3.9964 2.7180 5.8866
F -1.7383 1.9937 4.6458
F -5.1695 3.1228 3.5152
F -0.2700 2.5798 1.7046
F 2.5569 2.3169 1.0628
F -1.5201 0.8339 7.0981
F 0.9105 -0.6333 6.4564
F 2.7752 0.8327 5.1433
F 6.0136 -0.2329 3.0176
F 5.2059 -0.6344 5.7850
F 3.1867 0.0300 2.3759
F 3.8984 -0.5767 7.9638
F -0.3969 -0.5755 4.2776
F 0.8163 1.8499 3.8833
F -2.6404 4.3996 0.1972
F 0.5342 -0.1852 1.8061
F -6.0336 1.9948 7.5956
F 6.8778 0.5707 0.5653
F 0.2989 2.7169 6.3548


# 5
8
Lattice="6.5395 0.0000 0.0000 0.0000 5.2818 0.0000 0.0000 -2.6409 4.5742" Properties=species:S:1:pos:R:3 comment="UF3 (PBE-GGA, relaxed)" e_tot_ev_per_atom=-7.345 volume_a3_per_atom=19.75 formation_energy_uncorrected_mev_per_atom=-3119 pbc="T T T"
U 3.2697 0.0000 0.0000
U 0.0000 0.0000 0.0000
F 1.6349 1.8047 3.1257
F 4.9046 3.6093 0.0000
F 4.9046 0.8363 1.4484
F 1.6349 1.6725 0.0000
F 1.6349 -0.8363 1.4484
F 4.9046 -1.8047 3.1257


# 6
5
Lattice="-3.6050 -0.0544 -3.0621 -2.8017 -1.8518 3.3313 -1.2370 4.3524 1.3791" Properties=species:S:1:pos:R:3 comment="U4F (PBE-GGA, relaxed)" e_tot_ev_per_atom=-9.492 volume_a3_per_atom=21.17 formation_energy_uncorrected_mev_per_atom=-87 pbc="T T T"
U 0.0000 0.0000 0.0000
U -2.4210 2.1490 -0.8415
U -2.0193 1.2503 2.3552
U -3.2033 -0.9531 0.1346
F -3.8219 1.2231 0.8241


# 7
12
Lattice="-4.1610 0.5066 -3.6592 3.2296 -4.3218 -1.3608 -3.7641 -3.1088 7.1073" Properties=species:S:1:pos:R:3 comment="UF5 (PBE-GGA, relaxed)" e_tot_ev_per_atom=-6.952 volume_a3_per_atom=19.39 formation_energy_uncorrected_mev_per_atom=-3511 de_polymorph_ev_per_atom=0.0066 pbc="T T T"
U 0.0000 0.0000 0.0000
U -3.9626 -1.3011 1.7241
F 0.3127 -1.5618 -1.2470
F -1.3790 -6.3886 4.2242
F -3.3224 -3.1795 2.1459
F -2.6771 -6.1212 1.4256
F 0.1266 -4.9444 2.0640
F -4.8222 -1.9796 0.0233
F -2.0185 -0.8028 0.6617
F -1.3732 -3.7445 -0.0586
F -3.3166 -0.5354 -2.1369
F -5.0083 -5.3622 3.3343


# 8
2
Lattice="3.0444 0.0000 0.0000 -1.5222 2.6365 0.0000 0.0000 0.0000 4.2043" Properties=species:S:1:pos:R:3 comment="UF (PBE-GGA, relaxed)" e_tot_ev_per_atom=-8.062 volume_a3_per_atom=16.87 formation_energy_uncorrected_mev_per_atom=-1483 pbc="T T T"
U 1.5222 0.8788 0.0000
F 0.0000 0.0000 2.1021


# 9
28
Lattice="-1.5182 3.2018 4.0124 4.9633 -5.0434 5.9025 8.0865 5.9667 -1.7016" Properties=species:S:1:pos:R:3 comment="UF6 (PBE-GGA, relaxed)" e_tot_ev_per_atom=-6.541 volume_a3_per_atom=17.96 formation_energy_uncorrected_mev_per_atom=-3325 pbc="T T T"
U 3.3715 -0.0426 7.9176
U 7.9469 1.8185 5.6604
U 8.1601 4.1676 0.2956
U 3.5847 2.3066 2.5529
F 3.4953 -2.9374 5.3401
F 7.4910 0.1462 4.6149
F 8.0364 7.0624 2.8732
F 4.0407 3.9788 3.5984
F 4.7714 -0.3456 6.4816
F 8.4083 3.4948 6.7048
F 6.7603 4.4706 1.7317
F 3.1234 0.6303 1.5085
F 1.9055 -0.4461 6.5828
F 7.5461 0.8445 7.3880
F 8.0924 6.1297 -0.1936
F 5.5194 1.7220 2.6493
F 9.6262 4.5712 1.6304
F 3.9855 3.2805 0.8253
F 3.4393 -2.0047 8.4069
F 6.0123 2.4031 5.5640
F 4.8119 -1.2856 3.4096
F 9.8775 1.2268 5.7661
F 5.1777 6.9776 2.9697
F 3.1962 1.3313 4.2810
F 6.7198 5.4106 4.8036
F 1.6541 2.8983 2.4471
F 6.3539 -2.8525 5.2435
F 8.3355 2.7937 3.9323


# 10
6
Lattice="-1.1055 4.7157 -2.2866 -2.8406 -4.5403 0.0665 -0.2489 1.3621 5.1741" Properties=species:S:1:pos:R:3 comment="UF5 (PBE-GGA, relaxed)" e_tot_ev_per_atom=-6.959 volume_a3_per_atom=17.79 formation_energy_uncorrected_mev_per_atom=-3518 de_polymorph_ev_per_atom=0.0000 pbc="T T T"
U 0.0000 0.0000 0.0000
F -0.6953 1.3520 1.3425
F -1.9731 0.0877 -1.1101
F -3.4999 0.1854 1.6114
F -2.3752 -1.6684 4.0901
F -1.8199 3.2058 -1.1361


# 11
4
Lattice="4.2101 0.0000 0.0000 -2.1051 3.6461 0.0000 0.0000 0.0000 4.6437" Properties=species:S:1:pos:R:3 comment="UF3 (PBE-GGA, relaxed)" e_tot_ev_per_atom=-7.593 volume_a3_per_atom=17.82 formation_energy_uncorrected_mev_per_atom=-3368 pbc="T T T"
U 0.0000 0.0000 2.3219
F 2.1051 1.2154 1.8389
F 0.0000 2.4307 2.8048
F 0.0000 0.0000 0.0000